1.
DFT (PBE) results for crystalline Sr3As4Pt4 at its relaxed geometry.

Cell and atoms, written as CIF:
```
data_Sr3As4Pt4
_chemical_formula_sum 'Sr3 As4 Pt4'
_space_group_name_H-M_alt 'P 1'
_space_group_IT_number 1
_cell_length_a 12.622
_cell_length_b 12.622
_cell_length_c 4.490
_cell_angle_alpha 100.13
_cell_angle_beta 100.13
_cell_angle_gamma 20.98
loop_
_space_group_symop_operation_xyz
'x,y,z'
loop_
_atom_site_label
_atom_site_type_symbol
_atom_site_fract_x
_atom_site_fract_y
_atom_site_fract_z
Sr1 Sr 0.000 0.000 0.000
Sr2 Sr 0.148 0.148 0.649
Sr3 Sr 0.852 0.852 0.351
As1 As 0.249 0.249 0.249
As2 As 0.402 0.402 0.902
As3 As 0.598 0.598 0.098
As4 As 0.751 0.751 0.751
Pt1 Pt 0.298 0.298 0.798
Pt2 Pt 0.444 0.444 0.443
Pt3 Pt 0.556 0.556 0.557
Pt4 Pt 0.702 0.702 0.202
```

Properties
D(E_F): 3.86 states/eV per cell
Energy relative to the elements: -884 meV/atom
Energy: -5.23 eV per atom
Space group: C2/m (12)



2.
DFT (PBE) results for crystalline NdDy2Cu at its relaxed geometry.

Cell and atoms, written as CIF:
```
data_NdDy2Cu
_chemical_formula_sum 'Nd1 Dy2 Cu1'
_space_group_name_H-M_alt 'P 1'
_space_group_IT_number 1
_cell_length_a 3.528
_cell_length_b 3.528
_cell_length_c 8.706
_cell_angle_alpha 90.00
_cell_angle_beta 90.00
_cell_angle_gamma 90.00
loop_
_space_group_symop_operation_xyz
'x,y,z'
loop_
_atom_site_label
_atom_site_type_symbol
_atom_site_fract_x
_atom_site_fract_y
_atom_site_fract_z
Nd1 Nd 0.000 0.000 0.000
Dy1 Dy 0.500 0.500 0.308
Dy2 Dy 0.500 0.500 0.692
Cu1 Cu 0.000 0.000 0.500
```

Properties
D(E_F): 3.72 states/eV per cell
Energy relative to the elements: -102 meV/atom
Energy: -4.62 eV per atom
Space group: P4/mmm (123)
Energy relative to the lowest polymorph listed for this composition: 0.0 meV/atom



3.
DFT (PBE) results for crystalline MgZn2O3 at its relaxed geometry.

Cell and atoms, written as CIF:
```
data_MgZn2O3
_chemical_formula_sum 'Mg2 Zn4 O6'
_space_group_name_H-M_alt 'P 1'
_space_group_IT_number 1
_cell_length_a 5.657
_cell_length_b 5.657
_cell_length_c 5.671
_cell_angle_alpha 99.67
_cell_angle_beta 99.67
_cell_angle_gamma 119.98
loop_
_space_group_symop_operation_xyz
'x,y,z'
loop_
_atom_site_label
_atom_site_type_symbol
_atom_site_fract_x
_atom_site_fract_y
_atom_site_fract_z
Mg1 Mg 0.084 0.916 0.500
Mg2 Mg 0.916 0.084 0.000
Zn1 Zn 0.248 0.750 0.997
Zn2 Zn 0.414 0.579 0.497
Zn3 Zn 0.579 0.414 0.997
Zn4 Zn 0.750 0.248 0.497
O1 O 0.040 0.202 0.372
O2 O 0.202 0.040 0.872
O3 O 0.372 0.873 0.374
O4 O 0.543 0.710 0.874
O5 O 0.710 0.543 0.374
O6 O 0.873 0.372 0.874
```

Properties
Energy: -5.00 eV per atom
Formation energy without anion corrections: -1829 meV per atom
Space group: Cc (9)



4.
DFT (PBE) results for crystalline Ce2PrErS5 at its relaxed geometry.

Cell and atoms, written as CIF:
```
data_Ce2PrErS5
_chemical_formula_sum 'Ce2 Pr1 Er1 S5'
_space_group_name_H-M_alt 'P 1'
_space_group_IT_number 1
_cell_length_a 4.862
_cell_length_b 4.862
_cell_length_c 10.567
_cell_angle_alpha 90.00
_cell_angle_beta 90.00
_cell_angle_gamma 90.00
loop_
_space_group_symop_operation_xyz
'x,y,z'
loop_
_atom_site_label
_atom_site_type_symbol
_atom_site_fract_x
_atom_site_fract_y
_atom_site_fract_z
Ce1 Ce 0.000 0.000 0.192
Ce2 Ce 0.000 0.000 0.808
Pr1 Pr 0.500 0.500 0.500
Er1 Er 0.500 0.500 0.000
S1 S 0.000 0.000 0.500
S2 S 0.000 0.500 0.000
S3 S 0.500 0.000 0.000
S4 S 0.500 0.500 0.248
S5 S 0.500 0.500 0.752
```

Properties
D(E_F): 17.98 states/eV per cell
Energy: -6.17 eV per atom
Formation energy without anion corrections: -1525 meV per atom
Space group: P4/mmm (123)



Question: Which of these has the highest energy?
Answer: NdDy2Cu



Question: Look up the energy of the first one.
Answer: -5.23 eV per atom